Record 1
VASP calculation (PBE-GGA) on YHf2Zr after structural relaxation.

Lattice parameters (Å, degrees): 10.883 10.883 10.883 17.16 17.16 17.16
Fractional positions:
Y  0.000  0.000  0.000
Hf  0.245  0.245  0.245
Hf  0.755  0.755  0.755
Zr  0.500  0.500  0.500

ΔH_f (0 K) = 0.143 eV/atom
energy above the lowest structure with this stoichiometry = 0.0203 eV per atom
SG = R-3m (166)
total magnetization = 0.0 μB/f.u.

=====

Record 2
VASP calculation (PBE-GGA) on Tb3Ho2Tm7 after structural relaxation.

Lattice parameters (Å, degrees): 18.868 18.868 3.545 90.00 90.00 162.92
Fractional positions:
Tb  0.000  0.000  0.000
Tb  0.185  0.815  0.000
Tb  0.815  0.185  0.000
Ho  0.353  0.647  0.500
Ho  0.647  0.353  0.500
Tm  0.091  0.909  0.500
Tm  0.269  0.731  0.500
Tm  0.428  0.572  0.000
Tm  0.500  0.500  0.500
Tm  0.572  0.428  0.000
Tm  0.731  0.269  0.500
Tm  0.909  0.091  0.500

ΔH_f (0 K) = 0.112 eV/atom
energy above the lowest structure with this stoichiometry = 0.0260 eV per atom
SG = Cmmm (65)
total magnetization = 0.0 μB/f.u.

=====

Record 3
VASP calculation (PBE-GGA) on CaC3O after structural relaxation.

Lattice parameters (Å, degrees): 4.705 4.705 4.705 90.00 90.00 90.00
Fractional positions:
Ca  0.000  0.000  0.000
C  0.000  0.000  0.500
C  0.000  0.500  0.000
C  0.500  0.000  0.000
O  0.500  0.500  0.500

energy above the lowest structure with this stoichiometry = 1.5174 eV per atom
SG = Pm-3m (221)
total magnetization = 4.7 μB/f.u.

=====

Record 4
VASP calculation (PBE-GGA) on InOsBr2 after structural relaxation.

Lattice parameters (Å, degrees): 6.837 6.837 3.878 90.00 90.00 134.75
Fractional positions:
In  0.000  0.000  0.000
Os  0.500  0.500  0.000
Br  0.369  0.631  0.500
Br  0.631  0.369  0.500

energy above the lowest structure with this stoichiometry = 0.0433 eV per atom
SG = Cmmm (65)
total magnetization = 0.0 μB/f.u.

=====

Record 5
VASP calculation (PBE-GGA) on Pa3MnP4N12 after structural relaxation.

Lattice parameters (Å, degrees): 6.875 6.875 6.875 103.75 103.75 103.75
Fractional positions:
Pa  0.000  0.538  0.462
Pa  0.462  0.000  0.538
Pa  0.538  0.462  0.000
Mn  0.000  0.000  0.000
P  0.039  0.500  0.961
P  0.500  0.500  0.500
P  0.500  0.961  0.039
P  0.961  0.039  0.500
N  0.024  0.641  0.809
N  0.108  0.892  0.500
N  0.191  0.359  0.976
N  0.354  0.646  0.500
N  0.359  0.976  0.191
N  0.500  0.108  0.892
N  0.500  0.354  0.646
N  0.641  0.809  0.024
N  0.646  0.500  0.354
N  0.809  0.024  0.641
N  0.892  0.500  0.108
N  0.976  0.191  0.359

SG = R32 (155)
total magnetization = 5.0 μB/f.u.

=====

Record 6
VASP calculation (PBE-GGA) on SmHO2 after structural relaxation.

Lattice parameters (Å, degrees): 11.088 3.680 5.209 90.00 90.00 90.00
Fractional positions:
Sm  0.145  0.250  0.121
Sm  0.355  0.750  0.621
Sm  0.645  0.250  0.379
Sm  0.855  0.750  0.879
H  0.103  0.750  0.656
H  0.397  0.250  0.156
H  0.603  0.750  0.844
H  0.897  0.250  0.344
O  0.072  0.750  0.837
O  0.187  0.750  0.367
O  0.313  0.250  0.867
O  0.428  0.250  0.337
O  0.572  0.750  0.663
O  0.687  0.750  0.133
O  0.813  0.250  0.633
O  0.928  0.250  0.163

SG = Pnma (62)
total magnetization = 0.0 μB/f.u.

=====

Record 7
VASP calculation (PBE-GGA) on B2AsRh after structural relaxation.

Lattice parameters (Å, degrees): 5.871 5.871 5.871 131.85 131.85 70.47
Fractional positions:
B  0.118  0.625  0.993
B  0.375  0.368  0.493
B  0.632  0.125  0.007
B  0.875  0.882  0.507
As  0.250  0.750  0.500
As  0.500  0.500  0.000
Rh  0.000  0.000  0.000
Rh  0.750  0.250  0.500

ΔH_f (0 K) = 0.241 eV/atom
SG = I-42d (122)
total magnetization = 0.0 μB/f.u.

=====

Record 8
VASP calculation (PBE-GGA) on ZrRu2 after structural relaxation.

Lattice parameters (Å, degrees): 5.217 5.217 17.006 90.00 90.00 120.00
Fractional positions:
Zr  0.000  0.000  0.092
Zr  0.000  0.000  0.408
Zr  0.000  0.000  0.592
Zr  0.000  0.000  0.908
Zr  0.333  0.667  0.155
Zr  0.333  0.667  0.345
Zr  0.667  0.333  0.655
Zr  0.667  0.333  0.845
Ru  0.000  0.500  0.000
Ru  0.000  0.500  0.500
Ru  0.161  0.323  0.750
Ru  0.161  0.839  0.750
Ru  0.323  0.161  0.250
Ru  0.333  0.667  0.627
Ru  0.333  0.667  0.873
Ru  0.500  0.000  0.000
Ru  0.500  0.000  0.500
Ru  0.500  0.500  0.000
Ru  0.500  0.500  0.500
Ru  0.667  0.333  0.127
Ru  0.667  0.333  0.373
Ru  0.677  0.839  0.750
Ru  0.839  0.161  0.250
Ru  0.839  0.677  0.250

ΔH_f (0 K) = -0.353 eV/atom
SG = P6_3/mmc (194)
total magnetization = 0.0 μB/f.u.

=====

Record 9
VASP calculation (PBE-GGA) on RbOsSO2 after structural relaxation.

Lattice parameters (Å, degrees): 4.497 4.497 4.336 90.00 90.00 90.00
Fractional positions:
Rb  0.000  0.000  0.000
Os  0.500  0.500  0.000
S  0.500  0.500  0.500
O  0.000  0.500  0.500
O  0.500  0.000  0.500

SG = P4/mmm (123)
total magnetization = 3.0 μB/f.u.

=====

Record 10
VASP calculation (PBE-GGA) on PuTh2N after structural relaxation.

Lattice parameters (Å, degrees): 9.662 9.662 9.662 20.98 20.98 20.98
Fractional positions:
Pu  0.000  0.000  0.000
Th  0.114  0.114  0.114
Th  0.886  0.886  0.886
N  0.500  0.500  0.500

SG = R-3m (166)
total magnetization = 5.9 μB/f.u.

=====

Record 11
VASP calculation (PBE-GGA) on ScRh after structural relaxation.

Lattice parameters (Å, degrees): 6.730 6.730 6.730 109.47 109.47 109.47
Fractional positions:
Sc  0.000  0.000  0.595
Sc  0.000  0.595  0.000
Sc  0.405  0.405  0.405
Sc  0.595  0.000  0.000
Rh  0.000  0.000  0.250
Rh  0.000  0.250  0.000
Rh  0.250  0.000  0.000
Rh  0.750  0.750  0.750

ΔH_f (0 K) = 0.075 eV/atom
SG = I-43m (217)
total magnetization = 0.0 μB/f.u.

=====

These records have final energy values of -34.345 -53.004 -14.876 -16.415 -171.509 -112.929 -48.787 -225.262 -22.662 -38.987 -54.128 eV/cell, in the order they appear.
These records have density of states at the Fermi level values of 5.49 18.11 4.29 2.97 4.94 0.00 0.00 29.54 2.57 11.38 2.13 states/eV per cell, in the order they appear.